# Ba2Ga6CuRh

Ba2Ga6CuRh after structural relaxation (PBE, Alexandria via LeMat-Bulk).

The structure belongs to space group P-1 (No. 2); the cell edges are 6.635, 6.673 and 7.046 Å and the angles 62.44°, 62.04° and 60.22°. The asymmetric unit holds Ba at (0.208, 0.205, 0.379), Ga at (0.250, 0.654, 0.844), Ga at (0.254, 0.250, 0.841), Ga at (0.344, 0.749, 0.159), Cu at (0.500, 0.500, 0.500) and Rh at (0.000, 0.000, 0.000).

As for the final energy: -37.62 eV/cell.